VASP calculation (PBE) on crystalline Cs2Na13 at its relaxed geometry.

a b c (Å): 10.6093 10.6093 10.6093
angles (deg): 53.33 53.33 53.33
Atoms (fractional coordinates):
Cs1 0.1687 0.1687 0.1687
Cs2 0.8313 0.8313 0.8313
Na1 0.0000 0.0000 0.0000
Na2 0.1755 0.1755 0.5583
Na3 0.1755 0.5583 0.1755
Na4 0.3125 0.3125 0.6745
Na5 0.3125 0.6745 0.3125
Na6 0.3255 0.6875 0.6875
Na7 0.4417 0.8245 0.8245
Na8 0.5583 0.1755 0.1755
Na9 0.6745 0.3125 0.3125
Na10 0.6875 0.3255 0.6875
Na11 0.6875 0.6875 0.3255
Na12 0.8245 0.4417 0.8245
Na13 0.8245 0.8245 0.4417

Properties
Its formation energy is 0.0763 eV/atom. Its crystal system is trigonal. Its theoretical density is 1.3 g cm⁻³. Its total energy is -17.710 eV per cell.

---

VASP calculation (PBE) on crystalline Cs6Na at its relaxed geometry.

a b c (Å): 9.7077 9.7077 9.2808
angles (deg): 90.00 90.00 120.00
Atoms (fractional coordinates):
Cs1 0.0000 0.3552 0.2591
Cs2 0.0000 0.6448 0.7409
Cs3 0.3552 0.0000 0.2591
Cs4 0.3552 0.3552 0.7409
Cs5 0.6448 0.0000 0.7409
Cs6 0.6448 0.6448 0.2591
Na1 0.0000 0.0000 0.0000

Properties
Its formation energy is 0.0347 eV/atom. Its crystal system is trigonal. Its theoretical density is 1.8 g cm⁻³. Its total energy is -6.198 eV per cell. The value obtained for the relative energy among the computed polymorphs is 0.000 eV per atom.

---

Repeat the second record exactly.
VASP calculation (PBE) on crystalline Cs6Na at its relaxed geometry.

a b c (Å): 9.7077 9.7077 9.2808
angles (deg): 90.00 90.00 120.00
Atoms (fractional coordinates):
Cs1 0.0000 0.3552 0.2591
Cs2 0.0000 0.6448 0.7409
Cs3 0.3552 0.0000 0.2591
Cs4 0.3552 0.3552 0.7409
Cs5 0.6448 0.0000 0.7409
Cs6 0.6448 0.6448 0.2591
Na1 0.0000 0.0000 0.0000

Properties
Its formation energy is 0.0347 eV/atom. Its crystal system is trigonal. Its theoretical density is 1.8 g cm⁻³. Its total energy is -6.198 eV per cell. The value obtained for the relative energy among the computed polymorphs is 0.000 eV per atom.

---

> Look up the theoretical density of the second one.

1.8 g cm⁻³

---

> Which of these has the highest theoretical density?

Cs6Na